(1)
# Ho2ErScTe6, optimized geometry, DFT GGA-PBE
data_Ho2ErScTe6
_cell_length_a 7.5636
_cell_length_b 7.5636
_cell_length_c 20.7244
_cell_angle_alpha 90.00
_cell_angle_beta 90.00
_cell_angle_gamma 120.00
_space_group_name_H-M_alt 'R 3'
_space_group_IT_number 146
_space_group_name_Hall 'R 3'
loop_
_atom_site_label
_atom_site_fract_x
_atom_site_fract_y
_atom_site_fract_z
Ho1 0.0000 0.0000 0.0000
Ho2 0.0000 0.0000 0.4986
Er1 0.0000 0.0000 0.1838
Sc1 0.0000 0.0000 0.6824
Te1 0.0208 0.3377 0.7590
Te2 0.0266 0.6742 0.2616
# calculated total energy	-5.19	eV per atom
# formation energy without anion corrections	-13.042	eV per formula unit

---

(2)
# HoEr5ThSc2, optimized geometry, DFT GGA-PBE
data_HoEr5ThSc2
_cell_length_a 5.543
_cell_length_b 21.170
_cell_length_c 9.391
_cell_angle_alpha 90.00
_cell_angle_beta 90.00
_cell_angle_gamma 90.00
_space_group_name_H-M_alt 'C m c 21'
_space_group_IT_number 36
_space_group_name_Hall 'C 2c -2'
loop_
_atom_site_label
_atom_site_fract_x
_atom_site_fract_y
_atom_site_fract_z
Ho1 0.000 0.186 0.000
Er1 0.000 0.010 0.000
Er2 0.000 0.270 0.695
Er3 0.000 0.304 0.301
Er4 0.000 0.394 0.977
Er5 0.000 0.467 0.276
Th1 0.000 0.405 0.603
Sc1 0.000 0.116 0.688
Sc2 0.000 0.132 0.309
# formation energy	181	meV per atom
# calculated total energy	-5.09	eV per atom

---

(3)
# Ho2ErThSc4, optimized geometry, DFT GGA-PBE
data_Ho2ErThSc4
_cell_length_a 4.923
_cell_length_b 4.923
_cell_length_c 9.149
_cell_angle_alpha 90.00
_cell_angle_beta 90.00
_cell_angle_gamma 90.00
_space_group_name_H-M_alt 'P 4/m m m'
_space_group_IT_number 123
_space_group_name_Hall '-P 4 2'
loop_
_atom_site_label
_atom_site_fract_x
_atom_site_fract_y
_atom_site_fract_z
Ho1 0.000 0.000 0.000
Ho2 0.500 0.500 0.500
Er1 0.000 0.000 0.500
Th1 0.500 0.500 0.000
Sc1 0.000 0.500 0.248
# formation energy	42	meV per atom
# calculated total energy	-5.77	eV per atom

---

(4)
# Ho6Er2ThSc3, optimized geometry, DFT GGA-PBE
data_Ho6Er2ThSc3
_cell_length_a 6.022
_cell_length_b 10.429
_cell_length_c 11.424
_cell_angle_alpha 90.00
_cell_angle_beta 100.11
_cell_angle_gamma 90.00
_space_group_name_H-M_alt 'C 1 2/m 1'
_space_group_IT_number 12
_space_group_name_Hall '-C 2y'
loop_
_atom_site_label
_atom_site_fract_x
_atom_site_fract_y
_atom_site_fract_z
Ho1 0.245 0.000 0.242
Ho2 0.249 0.334 0.242
Er1 0.000 0.333 0.500
Th1 0.000 0.000 0.500
Sc1 0.000 0.167 0.000
Sc2 0.000 0.500 0.000
# formation energy	50	meV per atom
# calculated total energy	-5.20	eV per atom

---

(5)
# Ho4Er2ThSc, optimized geometry, DFT GGA-PBE
data_Ho4Er2ThSc
_cell_length_a 5.776
_cell_length_b 5.776
_cell_length_c 7.309
_cell_angle_alpha 90.00
_cell_angle_beta 90.00
_cell_angle_gamma 90.00
_space_group_name_H-M_alt 'P 4/m m m'
_space_group_IT_number 123
_space_group_name_Hall '-P 4 2'
loop_
_atom_site_label
_atom_site_fract_x
_atom_site_fract_y
_atom_site_fract_z
Ho1 0.000 0.500 0.242
Er1 0.000 0.000 0.000
Er2 0.500 0.500 0.500
Th1 0.000 0.000 0.500
Sc1 0.500 0.500 0.000
# formation energy	147	meV per atom
# calculated total energy	-5.00	eV per atom

---

(6)
# HoEr2ThSc, optimized geometry, DFT GGA-PBE
data_HoEr2ThSc
_cell_length_a 6.104
_cell_length_b 5.609
_cell_length_c 9.313
_cell_angle_alpha 90.00
_cell_angle_beta 109.07
_cell_angle_gamma 90.00
_space_group_name_H-M_alt 'P 1 21/m 1'
_space_group_IT_number 11
_space_group_name_Hall '-P 2yb'
loop_
_atom_site_label
_atom_site_fract_x
_atom_site_fract_y
_atom_site_fract_z
Ho1 0.235 0.250 0.307
Er1 0.037 0.250 0.898
Er2 0.422 0.250 0.696
Th1 0.371 0.750 0.900
Sc1 0.166 0.750 0.506
# formation energy	39	meV per atom
# calculated total energy	-5.45	eV per atom

---

(7)
# Ho6Er2ThSc, optimized geometry, DFT GGA-PBE
data_Ho6Er2ThSc
_cell_length_a 8.296
_cell_length_b 9.070
_cell_length_c 9.076
_cell_angle_alpha 94.00
_cell_angle_beta 95.31
_cell_angle_gamma 114.28
_space_group_name_H-M_alt 'P -1'
_space_group_IT_number 2
_space_group_name_Hall '-P 1'
loop_
_atom_site_label
_atom_site_fract_x
_atom_site_fract_y
_atom_site_fract_z
Ho1 0.003 0.085 0.333
Ho2 0.200 0.817 0.367
Ho3 0.203 0.322 0.873
Ho4 0.204 0.985 0.031
Ho5 0.399 0.216 0.568
Ho6 0.400 0.878 0.735
Er1 0.204 0.482 0.534
Er2 0.397 0.708 0.066
Th1 0.004 0.417 0.167
Sc1 0.396 0.381 0.239
# formation energy	18	meV per atom
# calculated total energy	-5.02	eV per atom

---

(8)
# Ho3Er6ThSc2, optimized geometry, DFT GGA-PBE
data_Ho3Er6ThSc2
_cell_length_a 6.008
_cell_length_b 10.406
_cell_length_c 11.585
_cell_angle_alpha 90.00
_cell_angle_beta 99.96
_cell_angle_gamma 90.00
_space_group_name_H-M_alt 'C 1 2/m 1'
_space_group_IT_number 12
_space_group_name_Hall '-C 2y'
loop_
_atom_site_label
_atom_site_fract_x
_atom_site_fract_y
_atom_site_fract_z
Ho1 0.000 0.000 0.000
Ho2 0.000 0.332 0.000
Er1 0.249 0.334 0.746
Er2 0.250 0.000 0.746
Th1 0.000 0.500 0.500
Sc1 0.000 0.167 0.500
# formation energy	37	meV per atom
# calculated total energy	-5.06	eV per atom

---

(9)
# HoErThSc, optimized geometry, DFT GGA-PBE
data_HoErThSc
_cell_length_a 3.5222
_cell_length_b 3.5222
_cell_length_c 33.0970
_cell_angle_alpha 90.00
_cell_angle_beta 90.00
_cell_angle_gamma 120.00
_space_group_name_H-M_alt 'R 3 m'
_space_group_IT_number 160
_space_group_name_Hall 'R 3 -2"'
loop_
_atom_site_label
_atom_site_fract_x
_atom_site_fract_y
_atom_site_fract_z
Ho1 0.0000 0.0000 0.0000
Er1 0.0000 0.0000 0.7531
Th1 0.0000 0.0000 0.1711
Sc1 0.0000 0.0000 0.5849
# excess energy over the best structure of this formula in the dataset	0.000	eV per atom
# formation energy	21	meV per atom
# calculated total energy	-5.70	eV per atom

---

(10)
# HoEr3ThSc, optimized geometry, DFT GGA-PBE
data_HoEr3ThSc
_cell_length_a 4.916
_cell_length_b 14.700
_cell_length_c 9.960
_cell_angle_alpha 90.00
_cell_angle_beta 90.00
_cell_angle_gamma 90.00
_space_group_name_H-M_alt 'C m c m'
_space_group_IT_number 63
_space_group_name_Hall '-C 2c 2'
loop_
_atom_site_label
_atom_site_fract_x
_atom_site_fract_y
_atom_site_fract_z
Ho1 0.000 0.000 0.000
Er1 0.000 0.169 0.250
Er2 0.000 0.334 0.000
Th1 0.000 0.497 0.250
Sc1 0.000 0.165 0.750
# formation energy	47	meV per atom
# calculated total energy	-5.29	eV per atom

---

(11)
# Ho2Er5ThSc, optimized geometry, DFT GGA-PBE
data_Ho2Er5ThSc
_cell_length_a 5.591
_cell_length_b 21.570
_cell_length_c 9.368
_cell_angle_alpha 90.00
_cell_angle_beta 90.00
_cell_angle_gamma 90.00
_space_group_name_H-M_alt 'C m c 21'
_space_group_IT_number 36
_space_group_name_Hall 'C 2c -2'
loop_
_atom_site_label
_atom_site_fract_x
_atom_site_fract_y
_atom_site_fract_z
Ho1 0.000 0.115 0.000
Ho2 0.000 0.134 0.389
Er1 0.000 0.013 0.694
Er2 0.000 0.268 0.008
Er3 0.000 0.304 0.400
Er4 0.000 0.395 0.724
Er5 0.000 0.471 0.427
Th1 0.000 0.401 0.107
Sc1 0.000 0.191 0.695
# formation energy	173	meV per atom
# calculated total energy	-4.91	eV per atom

---

(12)
# HoErThSc, optimized geometry, DFT GGA-PBE
data_HoErThSc
_cell_length_a 7.806
_cell_length_b 7.806
_cell_length_c 7.806
_cell_angle_alpha 90.00
_cell_angle_beta 90.00
_cell_angle_gamma 90.00
_space_group_name_H-M_alt 'F -4 3 m'
_space_group_IT_number 216
_space_group_name_Hall 'F -4 2 3'
loop_
_atom_site_label
_atom_site_fract_x
_atom_site_fract_y
_atom_site_fract_z
Ho1 0.000 0.000 0.000
Er1 0.250 0.250 0.250
Th1 0.000 0.000 0.500
Sc1 0.250 0.250 0.750
# excess energy over the best structure of this formula in the dataset	0.085	eV per atom
# formation energy	106	meV per atom
# calculated total energy	-5.62	eV per atom

---

(13)
# Ho3ErThSc, optimized geometry, DFT GGA-PBE
data_Ho3ErThSc
_cell_length_a 4.913
_cell_length_b 14.769
_cell_length_c 9.962
_cell_angle_alpha 90.00
_cell_angle_beta 90.00
_cell_angle_gamma 90.00
_space_group_name_H-M_alt 'C m c m'
_space_group_IT_number 63
_space_group_name_Hall '-C 2c 2'
loop_
_atom_site_label
_atom_site_fract_x
_atom_site_fract_y
_atom_site_fract_z
Ho1 0.000 0.165 0.000
Ho2 0.000 0.332 0.250
Er1 0.000 0.500 0.000
Th1 0.000 0.003 0.250
Sc1 0.000 0.335 0.750
# formation energy	46	meV per atom
# calculated total energy	-5.29	eV per atom

---

(14)
# Ho2Er4ThSc, optimized geometry, DFT GGA-PBE
data_Ho2Er4ThSc
_cell_length_a 5.749
_cell_length_b 5.749
_cell_length_c 7.355
_cell_angle_alpha 90.00
_cell_angle_beta 90.00
_cell_angle_gamma 90.00
_space_group_name_H-M_alt 'P 4/m m m'
_space_group_IT_number 123
_space_group_name_Hall '-P 4 2'
loop_
_atom_site_label
_atom_site_fract_x
_atom_site_fract_y
_atom_site_fract_z
Ho1 0.000 0.000 0.000
Ho2 0.500 0.500 0.500
Er1 0.000 0.500 0.241
Th1 0.000 0.000 0.500
Sc1 0.500 0.500 0.000
# formation energy	143	meV per atom
# calculated total energy	-5.00	eV per atom

---

(15)
# HoErScTi, optimized geometry, DFT GGA-PBE
data_HoErScTi
_cell_length_a 7.440
_cell_length_b 7.440
_cell_length_c 7.440
_cell_angle_alpha 90.00
_cell_angle_beta 90.00
_cell_angle_gamma 90.00
_space_group_name_H-M_alt 'F -4 3 m'
_space_group_IT_number 216
_space_group_name_Hall 'F -4 2 3'
loop_
_atom_site_label
_atom_site_fract_x
_atom_site_fract_y
_atom_site_fract_z
Ho1 0.000 0.000 0.000
Er1 0.000 0.000 0.500
Sc1 0.250 0.250 0.750
Ti1 0.250 0.250 0.250
# formation energy	212	meV per atom
# calculated total energy	-5.63	eV per atom

---

(16)
# HoEr2ScTl2, optimized geometry, DFT GGA-PBE
data_HoEr2ScTl2
_cell_length_a 4.932
_cell_length_b 9.701
_cell_length_c 6.820
_cell_angle_alpha 90.00
_cell_angle_beta 90.00
_cell_angle_gamma 90.00
_space_group_name_H-M_alt 'P m c 21'
_space_group_IT_number 26
_space_group_name_Hall 'P 2c -2'
loop_
_atom_site_label
_atom_site_fract_x
_atom_site_fract_y
_atom_site_fract_z
Ho1 0.000 0.047 0.000
Er1 0.000 0.310 0.389
Er2 0.500 0.453 0.101
Sc1 0.500 0.195 0.713
Tl1 0.000 0.364 0.842
Tl2 0.500 0.121 0.270
# formation energy	-256	meV per atom
# calculated total energy	-4.38	eV per atom

---

(17)
# Ho2ErScTl2, optimized geometry, DFT GGA-PBE
data_Ho2ErScTl2
_cell_length_a 4.937
_cell_length_b 9.726
_cell_length_c 6.816
_cell_angle_alpha 90.00
_cell_angle_beta 90.00
_cell_angle_gamma 90.00
_space_group_name_H-M_alt 'P m c 21'
_space_group_IT_number 26
_space_group_name_Hall 'P 2c -2'
loop_
_atom_site_label
_atom_site_fract_x
_atom_site_fract_y
_atom_site_fract_z
Ho1 0.000 0.047 0.000
Ho2 0.500 0.191 0.287
Er1 0.500 0.454 0.899
Sc1 0.000 0.306 0.612
Tl1 0.000 0.380 0.169
Tl2 0.500 0.138 0.741
# formation energy	-256	meV per atom
# calculated total energy	-4.39	eV per atom

---

(18)
# HoEr6Tm2Sc3, optimized geometry, DFT GGA-PBE
data_HoEr6Tm2Sc3
_cell_length_a 5.982
_cell_length_b 10.351
_cell_length_c 11.373
_cell_angle_alpha 90.00
_cell_angle_beta 100.07
_cell_angle_gamma 90.00
_space_group_name_H-M_alt 'C 1 2/m 1'
_space_group_IT_number 12
_space_group_name_Hall '-C 2y'
loop_
_atom_site_label
_atom_site_fract_x
_atom_site_fract_y
_atom_site_fract_z
Ho1 0.000 0.000 0.000
Er1 0.247 0.333 0.742
Er2 0.248 0.000 0.742
Tm1 0.000 0.333 0.000
Sc1 0.000 0.167 0.500
Sc2 0.000 0.500 0.500
# formation energy	44	meV per atom
# calculated total energy	-4.95	eV per atom

---

(19)
# HoEr2Tm4Sc, optimized geometry, DFT GGA-PBE
data_HoEr2Tm4Sc
_cell_length_a 4.904
_cell_length_b 4.904
_cell_length_c 9.822
_cell_angle_alpha 90.00
_cell_angle_beta 90.00
_cell_angle_gamma 90.00
_space_group_name_H-M_alt 'P 4/m m m'
_space_group_IT_number 123
_space_group_name_Hall '-P 4 2'
loop_
_atom_site_label
_atom_site_fract_x
_atom_site_fract_y
_atom_site_fract_z
Ho1 0.000 0.000 0.000
Er1 0.000 0.000 0.500
Er2 0.500 0.500 0.000
Tm1 0.000 0.500 0.254
Sc1 0.500 0.500 0.500
# formation energy	36	meV per atom
# calculated total energy	-4.70	eV per atom

---

(20)
# Ho2ErTmSc2, optimized geometry, DFT GGA-PBE
data_Ho2ErTmSc2
_cell_length_a 6.825
_cell_length_b 9.309
_cell_length_c 5.395
_cell_angle_alpha 90.00
_cell_angle_beta 90.00
_cell_angle_gamma 90.00
_space_group_name_H-M_alt 'P n n m'
_space_group_IT_number 58
_space_group_name_Hall '-P 2 2n'
loop_
_atom_site_label
_atom_site_fract_x
_atom_site_fract_y
_atom_site_fract_z
Ho1 0.250 0.166 0.000
Er1 0.000 0.000 0.500
Tm1 0.000 0.500 0.000
Sc1 0.250 0.333 0.500
# formation energy	70	meV per atom
# calculated total energy	-5.07	eV per atom